Crystalline AcPr2I at its relaxed geometry, computed with PBE.

Properties
SG	R-3m, No. 166
energy relative to the lowest polymorph listed for this composition	204.6	meV per atom
raw total energy	-3.996	eV per atom
D(E_F)	6.6	states/eV per cell

Cell lengths 3.769, 3.769, 12.558 Å; angles 81.37, 81.37, 60.00 degrees
Fractional coordinates of all 4 atoms:
1 Ac 0.000 0.000 0.000
2 Pr 0.098 0.098 0.707
3 I 0.500 0.500 0.500
4 Pr 0.902 0.902 0.293